Record 1
A relaxed structure of DyPa2Ga, computed with PBE-GGA.

Output
For the spin magnetization, the calculation gives 0.00 μB/cell. The relative energy among the computed polymorphs comes out at 0.000 eV/atom. The energy of formation is -9 kJ per mole of atoms. The space group is No. 123. The uncorrected energy comes out at -0.2479 hartree per atom.

Unit cell a=4.339 b=4.339 c=5.043 alpha=90.00 beta=90.00 gamma=90.00
Fractional coordinates of all 4 atoms:
Dy (0.000, 0.000, 0.000)
Pa (0.000, 0.500, 0.500)
Pa (0.500, 0.000, 0.500)
Ga (0.500, 0.500, 0.000)

Record 2
A relaxed structure of DyPaGa4, computed with PBE-GGA.

Output
For the spin magnetization, the calculation gives 0.00 μB/cell. The relative energy among the computed polymorphs comes out at 0.000 eV/atom. The energy of formation is -46 kJ per mole of atoms. The space group is No. 119. The uncorrected energy comes out at -0.1781 hartree per atom.

Unit cell a=7.855 b=7.855 c=7.855 alpha=149.41 beta=149.41 gamma=43.81
Fractional coordinates of all 6 atoms:
Dy (0.000, 0.000, 0.000)
Pa (0.750, 0.250, 0.500)
Ga (0.168, 0.668, 0.500)
Ga (0.332, 0.832, 0.500)
Ga (0.417, 0.417, 0.000)
Ga (0.583, 0.583, 0.000)

Record 3
A relaxed structure of DyPaGa4, computed with PBE-GGA.

Output
For the spin magnetization, the calculation gives 0.00 μB/cell. The relative energy among the computed polymorphs comes out at 0.122 eV/atom. The energy of formation is -35 kJ per mole of atoms. The space group is No. 216. The uncorrected energy comes out at -0.1737 hartree per atom.

Unit cell a=5.520 b=5.520 c=5.520 alpha=60.00 beta=60.00 gamma=60.00
Fractional coordinates of all 6 atoms:
Dy (0.000, 0.000, 0.000)
Pa (0.250, 0.250, 0.250)
Ga (0.126, 0.625, 0.625)
Ga (0.625, 0.126, 0.625)
Ga (0.625, 0.625, 0.126)
Ga (0.625, 0.625, 0.625)

Record 4
A relaxed structure of Dy2PaGa, computed with PBE-GGA.

Output
For the spin magnetization, the calculation gives 0.37 μB/cell. The relative energy among the computed polymorphs comes out at 0.000 eV/atom. The energy of formation is -16 kJ per mole of atoms. The space group is No. 123. The uncorrected energy comes out at -0.2056 hartree per atom.

Unit cell a=3.412 b=3.412 c=8.749 alpha=90.00 beta=90.00 gamma=90.00
Fractional coordinates of all 4 atoms:
Dy (0.000, 0.000, 0.221)
Dy (0.000, 0.000, 0.779)
Pa (0.500, 0.500, 0.500)
Ga (0.500, 0.500, 0.000)